1.
UTeS2 PBE optimized geometry; energy above the most stable polymorph in this dataset = 4.76 eV/f.u.; formation energy from raw total energies = 0.29 eV/atom
1.0
1.7332 1.0007 9.2548
-1.7332 1.0007 9.2548
0.0000 -2.0014 9.2548
U Te S
1 1 2
direct
0.0000 0.0000 0.0000
0.5000 0.5000 0.5000
0.0894 0.0894 0.0894
0.9106 0.9106 0.9106

---

2.
UTeS PBE optimized geometry; energy above the most stable polymorph in this dataset = 0.00 eV/f.u.; formation energy from raw total energies = -1.06 eV/atom
1.0
7.6643 0.0000 0.0000
0.0000 4.2093 0.0000
0.0000 0.0000 8.9497
U Te S
4 4 4
direct
0.2038 0.2500 0.1212
0.2962 0.7500 0.6212
0.7038 0.2500 0.3788
0.7962 0.7500 0.8788
0.0246 0.7500 0.3404
0.4754 0.2500 0.8404
0.5246 0.7500 0.1596
0.9754 0.2500 0.6596
0.1493 0.7500 0.9275
0.3507 0.2500 0.4275
0.6493 0.7500 0.5725
0.8507 0.2500 0.0725

---

3.
UTeS3 PBE optimized geometry; formation energy from raw total energies = -0.64 eV/atom
1.0
8.2278 -2.1094 0.0000
8.2278 2.1094 0.0000
-1.6307 0.0000 6.8427
U Te S
2 2 6
direct
0.1996 0.1996 0.2325
0.8004 0.8004 0.7675
0.4296 0.4296 0.0778
0.5704 0.5704 0.9222
0.0468 0.0468 0.2560
0.2039 0.2039 0.8449
0.3269 0.3269 0.5501
0.6731 0.6731 0.4499
0.7961 0.7961 0.1551
0.9532 0.9532 0.7440

---

4.
UTeS4 PBE optimized geometry; formation energy from raw total energies = -0.57 eV/atom
1.0
9.8648 -2.7508 0.0000
9.8648 2.7508 0.0000
-2.8680 0.0000 7.2743
U Te S
2 2 8
direct
0.1879 0.1879 0.3142
0.8121 0.8121 0.6858
0.1803 0.1803 0.8094
0.8197 0.8197 0.1906
0.0950 0.0950 0.9704
0.0961 0.0961 0.4834
0.2938 0.2938 0.1775
0.2957 0.2957 0.6477
0.7043 0.7043 0.3523
0.7062 0.7062 0.8225
0.9039 0.9039 0.5166
0.9050 0.9050 0.0296

---

5.
U4Te5S PBE optimized geometry; formation energy from raw total energies = -0.68 eV/atom
1.0
9.1066 -2.0393 0.0000
9.1066 2.0393 0.0000
-1.7840 0.0000 8.2484
U Te S
4 5 1
direct
0.0012 0.0012 0.2754
0.3430 0.3430 0.4246
0.6570 0.6570 0.5754
0.9988 0.9988 0.7246
0.1668 0.1668 0.8437
0.1713 0.1713 0.3105
0.5000 0.5000 0.0000
0.8287 0.8287 0.6895
0.8332 0.8332 0.1563
0.5000 0.5000 0.5000

---

6.
U4Te3S4 PBE optimized geometry; formation energy from raw total energies = -1.09 eV/atom
1.0
-2.0780 4.1222 7.6753
2.0780 -4.1222 7.6753
2.0780 4.1222 -7.6753
U Te S
4 3 4
direct
0.2319 0.2319 0.0000
0.2813 0.5000 0.7813
0.7187 0.5000 0.2187
0.7681 0.7681 0.0000
0.0000 0.0000 0.0000
0.3937 0.8937 0.5000
0.6063 0.1063 0.5000
0.0241 0.3273 0.6968
0.3695 0.6727 0.6968
0.6305 0.3273 0.3032
0.9759 0.6727 0.3032